a) The following is a PBEsol calculation of a relaxed structure of TaAs2Br, from Alexandria.

density: 9.286 g cm⁻³

a b c (Å): 6.648 6.648 6.648
angles (deg): 90.00 90.00 90.00
Positions (direct):
1 Ta 0.000 0.000 0.000
2 Ta 0.000 0.500 0.500
3 Ta 0.500 0.000 0.500
4 Ta 0.500 0.500 0.000
5 As 0.250 0.250 0.250
6 As 0.250 0.250 0.750
7 As 0.250 0.750 0.250
8 As 0.250 0.750 0.750
9 As 0.750 0.250 0.250
10 As 0.750 0.250 0.750
11 As 0.750 0.750 0.250
12 As 0.750 0.750 0.750
13 Br 0.000 0.000 0.500
14 Br 0.000 0.500 0.000
15 Br 0.500 0.000 0.000
16 Br 0.500 0.500 0.500

***

b) The following is a PBEsol calculation of a relaxed structure of TaAs2Br, from Alexandria.

density: 8.805 g cm⁻³

a b c (Å): 3.409 3.409 6.665
angles (deg): 90.00 90.00 90.00
Positions (direct):
1 Ta 0.000 0.000 0.000
2 As 0.500 0.500 0.194
3 As 0.500 0.500 0.806
4 Br 0.000 0.000 0.500

***

From most stable to least stable, the computed energies give b), a).

***

a) The following is a PBEsol calculation of a relaxed structure of YTaAsBr2, from Alexandria.

density: 6.676 g cm⁻³

a b c (Å): 4.964 4.964 5.094
angles (deg): 90.00 90.00 90.00
Positions (direct):
1 Y 0.000 0.000 0.000
2 Ta 0.500 0.500 0.500
3 As 0.500 0.500 0.000
4 Br 0.000 0.500 0.500
5 Br 0.500 0.000 0.500

***

b) The following is a PBEsol calculation of a relaxed structure of YTaAsBr2, from Alexandria.

density: 5.451 g cm⁻³

a b c (Å): 5.200 5.200 5.685
angles (deg): 90.00 90.00 90.00
Positions (direct):
1 Y 0.000 0.000 0.000
2 Ta 0.500 0.500 0.500
3 As 0.000 0.000 0.500
4 Br 0.000 0.500 0.000
5 Br 0.500 0.000 0.000

***

From most stable to least stable, the computed energies give a), b).